GGA-PBE Pm3Te6Au, optimized geometry; ΔE_f (raw) = -1.01 eV per atom; calculated volume = 34.68 A^3/atom; space-group type = Cmc2_1 (36); E_tot = -4.653 eV/atom
1.0
-2.9373 5.4757 4.5019
-6.9723 -5.9535 2.6921
6.3473 -2.1857 6.8000
Pm Te Au
6 12 2
direct
0.4758 0.8998 0.7119 Pm
0.4758 0.2881 0.1002 Pm
0.8422 0.5947 0.4053 Pm
0.9758 0.7119 0.8998 Pm
0.3422 0.4053 0.5947 Pm
0.9758 0.1002 0.2881 Pm
0.7016 0.1748 0.8252 Te
0.6567 0.2962 0.3939 Te
0.2223 0.0868 0.5471 Te
0.1804 0.0250 0.9750 Te
0.7223 0.9132 0.4529 Te
0.7223 0.5471 0.0868 Te
0.2016 0.8252 0.1748 Te
0.6804 0.9750 0.0250 Te
0.1567 0.7038 0.6061 Te
0.1567 0.3939 0.2962 Te
0.2223 0.4529 0.9132 Te
0.6567 0.6061 0.7038 Te
0.5514 0.7715 0.2285 Au
0.0514 0.2285 0.7715 Au


GGA-PBE PmTe2Au, optimized geometry; ΔE_f (raw) = -0.87 eV per atom; calculated volume = 30.99 A^3/atom; space-group type = Pmn2_1 (31); E_tot = -4.453 eV/atom
1.0
4.5809 -0.0003 -0.0038
0.0005 6.6889 -0.0007
0.0082 0.0009 8.0919
Pm Au Te
2 2 4
direct
0.2010 0.7488 0.8696 Pm
0.7009 0.2488 0.3464 Pm
0.7014 0.3944 0.9317 Au
0.2006 0.8944 0.2843 Au
0.7010 0.5896 0.6395 Te
0.2013 0.2006 0.0327 Te
0.7007 0.7006 0.1833 Te
0.2009 0.0896 0.5764 Te


GGA-PBE Pm2Te3Au, optimized geometry; ΔE_f (raw) = -1.08 eV per atom; calculated volume = 30.90 A^3/atom; space-group type = C2/c (15); E_tot = -4.785 eV/atom
1.0
-2.8528 -0.4236 -5.3629
2.0805 -8.3537 -0.4469
-5.0995 0.6381 6.1192
Pm Au Te
4 2 6
direct
0.6506 0.5755 0.2914 Pm
0.3494 0.4245 0.7086 Pm
0.3591 0.9245 0.7086 Pm
0.6409 0.0755 0.2914 Pm
0.2158 0.2500 0.0000 Au
0.7842 0.7500 0.0000 Au
0.8120 0.9062 0.6142 Te
0.1880 0.0938 0.3858 Te
0.8022 0.4062 0.6142 Te
0.2881 0.7500 0.0000 Te
0.1978 0.5938 0.3858 Te
0.7119 0.2500 0.0000 Te